VASP calculation (PBE-GGA) on a relaxed K2TlRe crystal. Values from VASP.

- Space group: Pmm2 (25)
- VASP energy: -3.3066 eV per atom
- Energy above the most stable polymorph in this dataset: 0.46 kcal/mol of atoms
- Total magnetization: 0.85 Bohr magnetons per cell
- Mass density: 5.5 g cm⁻³

Quantum ESPRESSO input file:
```
&SYSTEM
  ibrav = 0, nat = 4, ntyp = 3
/
ATOMIC_SPECIES
K 39.10 K.upf
Tl 204.38 Tl.upf
Re 186.21 Re.upf
CELL_PARAMETERS angstrom
3.1195 0.0000 0.0000
0.0000 4.4994 0.0000
0.0000 0.0000 10.1459
ATOMIC_POSITIONS crystal
K 0.0000 0.0000 0.0000
K 0.5000 0.5000 0.4030
Tl 0.5000 0.5000 0.7278
Re 0.0000 0.0000 0.6751
```